Record 1
AgMoAs2: relaxed, GGA-PBE.

Results
The formation energy comes out at 0.66 eV per atom. Its energy above the most stable polymorph in this dataset is 655 meV per atom.

```
data_AgMoAs2
_chemical_formula_sum 'Ag1 Mo1 As2'
_cell_length_a 4.6192
_cell_length_b 4.6192
_cell_length_c 4.6192
_cell_angle_alpha 60.00
_cell_angle_beta 60.00
_cell_angle_gamma 60.00
_symmetry_space_group_name_H-M 'P 1'
_symmetry_Int_Tables_number 1
loop_
_symmetry_equiv_pos_as_xyz
'x,y,z'
loop_
_atom_site_label
_atom_site_type_symbol
_atom_site_fract_x
_atom_site_fract_y
_atom_site_fract_z
Ag1 Ag 0.0000 0.0000 0.0000
Mo1 Mo 0.2500 0.2500 0.2500
As1 As 0.5000 0.5000 0.5000
As2 As 0.7500 0.7500 0.7500
```

Record 2
RbTa3C: relaxed, GGA-PBE.

Results
The formation energy comes out at 4.45 eV per atom. Its energy above the most stable polymorph in this dataset is 3230 meV per atom.

```
data_RbTa3C
_chemical_formula_sum 'Rb1 Ta3 C1'
_cell_length_a 4.7670
_cell_length_b 4.7670
_cell_length_c 4.7670
_cell_angle_alpha 90.00
_cell_angle_beta 90.00
_cell_angle_gamma 90.00
_symmetry_space_group_name_H-M 'P 1'
_symmetry_Int_Tables_number 1
loop_
_symmetry_equiv_pos_as_xyz
'x,y,z'
loop_
_atom_site_label
_atom_site_type_symbol
_atom_site_fract_x
_atom_site_fract_y
_atom_site_fract_z
Rb1 Rb 0.0000 0.0000 0.0000
Ta1 Ta 0.0000 0.0000 0.5000
Ta2 Ta 0.0000 0.5000 0.0000
Ta3 Ta 0.5000 0.0000 0.0000
C1 C 0.5000 0.5000 0.5000
```

Record 3
Sb2TeAu: relaxed, GGA-PBE.

Results
The calculation puts the formation energy without anion corrections at 1.98 kcal/mol of atoms.

```
data_Sb2TeAu
_chemical_formula_sum 'Sb2 Te1 Au1'
_cell_length_a 6.9617
_cell_length_b 6.9617
_cell_length_c 4.2644
_cell_angle_alpha 103.83
_cell_angle_beta 103.83
_cell_angle_gamma 34.11
_symmetry_space_group_name_H-M 'P 1'
_symmetry_Int_Tables_number 1
loop_
_symmetry_equiv_pos_as_xyz
'x,y,z'
loop_
_atom_site_label
_atom_site_type_symbol
_atom_site_fract_x
_atom_site_fract_y
_atom_site_fract_z
Sb1 Sb 0.0000 0.0000 0.0000
Sb2 Sb 0.1850 0.1850 0.5775
Te1 Te 0.8041 0.8041 0.2836
Au1 Au 0.5202 0.5202 0.5486
```

Record 4
Al2CdFe: relaxed, GGA-PBE.

Results
The formation energy comes out at 0.10 eV per atom.

```
data_Al2CdFe
_chemical_formula_sum 'Al2 Cd1 Fe1'
_cell_length_a 9.3177
_cell_length_b 9.3177
_cell_length_c 9.3177
_cell_angle_alpha 17.71
_cell_angle_beta 17.71
_cell_angle_gamma 17.71
_symmetry_space_group_name_H-M 'P 1'
_symmetry_Int_Tables_number 1
loop_
_symmetry_equiv_pos_as_xyz
'x,y,z'
loop_
_atom_site_label
_atom_site_type_symbol
_atom_site_fract_x
_atom_site_fract_y
_atom_site_fract_z
Al1 Al 0.0000 0.0000 0.0000
Al2 Al 0.2488 0.2488 0.2488
Cd1 Cd 0.4871 0.4871 0.4871
Fe1 Fe 0.7366 0.7366 0.7366
```

Record 5
BaSr2Hg8: relaxed, GGA-PBE.

Results
The formation energy comes out at -0.42 eV per atom.

```
data_BaSr2Hg8
_chemical_formula_sum 'Ba1 Sr2 Hg8'
_cell_length_a 9.4058
_cell_length_b 9.4058
_cell_length_c 5.7671
_cell_angle_alpha 107.34
_cell_angle_beta 107.34
_cell_angle_gamma 123.97
_symmetry_space_group_name_H-M 'P 1'
_symmetry_Int_Tables_number 1
loop_
_symmetry_equiv_pos_as_xyz
'x,y,z'
loop_
_atom_site_label
_atom_site_type_symbol
_atom_site_fract_x
_atom_site_fract_y
_atom_site_fract_z
Ba1 Ba 0.0000 0.0000 0.0000
Sr1 Sr 0.3102 0.6898 0.5000
Sr2 Sr 0.6898 0.3102 0.5000
Hg1 Hg 0.0964 0.3555 0.7345
Hg2 Hg 0.2096 0.7904 0.0000
Hg3 Hg 0.3555 0.0964 0.7345
Hg4 Hg 0.4865 0.4865 0.7366
Hg5 Hg 0.5135 0.5135 0.2634
Hg6 Hg 0.6445 0.9036 0.2655
Hg7 Hg 0.7904 0.2096 0.0000
Hg8 Hg 0.9036 0.6445 0.2655
```

Record 6
SbWSe2: relaxed, GGA-PBE.

Results
The calculation puts the formation energy without anion corrections at 8.93 kcal/mol of atoms.

```
data_SbWSe2
_chemical_formula_sum 'Sb1 W1 Se2'
_cell_length_a 3.2495
_cell_length_b 4.7541
_cell_length_c 6.1361
_cell_angle_alpha 90.00
_cell_angle_beta 97.90
_cell_angle_gamma 90.00
_symmetry_space_group_name_H-M 'P 1'
_symmetry_Int_Tables_number 1
loop_
_symmetry_equiv_pos_as_xyz
'x,y,z'
loop_
_atom_site_label
_atom_site_type_symbol
_atom_site_fract_x
_atom_site_fract_y
_atom_site_fract_z
Sb1 Sb 0.0000 0.0000 0.0000
W1 W 0.1195 0.5000 0.2890
Se1 Se 0.1793 0.0000 0.4443
Se2 Se 0.7058 0.5000 0.6078
```

Record 7
RbBa2NpO5: relaxed, GGA-PBE.

Results
The calculation puts the formation energy without anion corrections at -61.02 kcal/mol of atoms.

```
data_RbBa2NpO5
_chemical_formula_sum 'Rb1 Ba2 Np1 O5'
_cell_length_a 7.3871
_cell_length_b 7.3871
_cell_length_c 7.3871
_cell_angle_alpha 145.35
_cell_angle_beta 126.30
_cell_angle_gamma 65.50
_symmetry_space_group_name_H-M 'P 1'
_symmetry_Int_Tables_number 1
loop_
_symmetry_equiv_pos_as_xyz
'x,y,z'
loop_
_atom_site_label
_atom_site_type_symbol
_atom_site_fract_x
_atom_site_fract_y
_atom_site_fract_z
Rb1 Rb 0.0000 0.0000 0.0000
Ba1 Ba 0.2762 0.7762 0.5000
Ba2 Ba 0.7238 0.2238 0.5000
Np1 Np 0.5000 0.5000 0.0000
O1 O 0.1572 0.3714 0.7858
O2 O 0.4145 0.6286 0.7858
O3 O 0.5000 0.0000 0.5000
O4 O 0.5855 0.3714 0.2142
O5 O 0.8428 0.6286 0.2142
```

Record 8
TaAl3C: relaxed, GGA-PBE.

Results
The formation energy comes out at 2.21 eV per atom. Its energy above the most stable polymorph in this dataset is 1679 meV per atom.

```
data_TaAl3C
_chemical_formula_sum 'Ta1 Al3 C1'
_cell_length_a 5.0910
_cell_length_b 5.0910
_cell_length_c 5.0910
_cell_angle_alpha 90.00
_cell_angle_beta 90.00
_cell_angle_gamma 90.00
_symmetry_space_group_name_H-M 'P 1'
_symmetry_Int_Tables_number 1
loop_
_symmetry_equiv_pos_as_xyz
'x,y,z'
loop_
_atom_site_label
_atom_site_type_symbol
_atom_site_fract_x
_atom_site_fract_y
_atom_site_fract_z
Ta1 Ta 0.0000 0.0000 0.0000
Al1 Al 0.0000 0.0000 0.5000
Al2 Al 0.0000 0.5000 0.0000
Al3 Al 0.5000 0.0000 0.0000
C1 C 0.5000 0.5000 0.5000
```